a) A relaxed structure of RhAuS2N, computed with GGA-PBE.

CIF file:
```
data_RhAuS2N
_chemical_formula_sum 'Rh1 Au1 S2 N1'
_symmetry_space_group_name_H-M 'P 4/m m m'
_symmetry_Int_Tables_number 123
_symmetry_space_group_name_Hall '-P 4 2'
_cell_length_a 4.897
_cell_length_b 4.897
_cell_length_c 3.611
_cell_angle_alpha 90.00
_cell_angle_beta 90.00
_cell_angle_gamma 90.00
loop_
_atom_site_label
_atom_site_type_symbol
_atom_site_fract_x
_atom_site_fract_y
_atom_site_fract_z
Rh1 Rh 0.000 0.000 0.000
Au1 Au 0.500 0.500 0.500
S1 S 0.000 0.500 0.000
N1 N 0.000 0.000 0.500
```

Values from the calculation:
* DOS(E_F): 4.0 states/eV per cell

b) A relaxed structure of RhAuS2N, computed with GGA-PBE.

CIF file:
```
data_RhAuS2N
_chemical_formula_sum 'Rh1 Au1 S2 N1'
_symmetry_space_group_name_H-M 'P 4/m m m'
_symmetry_Int_Tables_number 123
_symmetry_space_group_name_Hall '-P 4 2'
_cell_length_a 4.979
_cell_length_b 4.979
_cell_length_c 3.701
_cell_angle_alpha 90.00
_cell_angle_beta 90.00
_cell_angle_gamma 90.00
loop_
_atom_site_label
_atom_site_type_symbol
_atom_site_fract_x
_atom_site_fract_y
_atom_site_fract_z
Rh1 Rh 0.000 0.000 0.000
Au1 Au 0.500 0.500 0.500
S1 S 0.000 0.500 0.500
N1 N 0.500 0.500 0.000
```

Values from the calculation:
* DOS(E_F): 5.8 states/eV per cell

Name the most stable of them. a).

a) A relaxed structure of Te2RhAuN, computed with GGA-PBE.

CIF file:
```
data_Te2RhAuN
_chemical_formula_sum 'Te2 Rh1 Au1 N1'
_symmetry_space_group_name_H-M 'P 4/m m m'
_symmetry_Int_Tables_number 123
_symmetry_space_group_name_Hall '-P 4 2'
_cell_length_a 5.556
_cell_length_b 5.556
_cell_length_c 3.695
_cell_angle_alpha 90.00
_cell_angle_beta 90.00
_cell_angle_gamma 90.00
loop_
_atom_site_label
_atom_site_type_symbol
_atom_site_fract_x
_atom_site_fract_y
_atom_site_fract_z
Te1 Te 0.000 0.500 0.000
Rh1 Rh 0.000 0.000 0.500
Au1 Au 0.500 0.500 0.000
N1 N 0.500 0.500 0.500
```

Values from the calculation:
* DOS(E_F): 4.3 states/eV per cell

b) A relaxed structure of Te2RhAuN, computed with GGA-PBE.

CIF file:
```
data_Te2RhAuN
_chemical_formula_sum 'Te2 Rh1 Au1 N1'
_symmetry_space_group_name_H-M 'P 4/m m m'
_symmetry_Int_Tables_number 123
_symmetry_space_group_name_Hall '-P 4 2'
_cell_length_a 5.471
_cell_length_b 5.471
_cell_length_c 3.628
_cell_angle_alpha 90.00
_cell_angle_beta 90.00
_cell_angle_gamma 90.00
loop_
_atom_site_label
_atom_site_type_symbol
_atom_site_fract_x
_atom_site_fract_y
_atom_site_fract_z
Te1 Te 0.000 0.500 0.000
Rh1 Rh 0.000 0.000 0.000
Au1 Au 0.500 0.500 0.500
N1 N 0.000 0.000 0.500
```

Values from the calculation:
* DOS(E_F): 3.3 states/eV per cell

Name the most stable of them. b).

a) A relaxed structure of RuAuN2, computed with GGA-PBE.

CIF file:
```
data_RuAuN2
_chemical_formula_sum 'Ru4 Au4 N8'
_symmetry_space_group_name_H-M 'F m -3 m'
_symmetry_Int_Tables_number 225
_symmetry_space_group_name_Hall '-F 4 2 3'
_cell_length_a 5.603
_cell_length_b 5.603
_cell_length_c 5.603
_cell_angle_alpha 90.00
_cell_angle_beta 90.00
_cell_angle_gamma 90.00
loop_
_atom_site_label
_atom_site_type_symbol
_atom_site_fract_x
_atom_site_fract_y
_atom_site_fract_z
Ru1 Ru 0.000 0.000 0.000
Au1 Au 0.000 0.000 0.500
N1 N 0.250 0.250 0.250
```

Values from the calculation:
* DOS(E_F): 22.2 states/eV per cell

b) A relaxed structure of RuAuN2, computed with GGA-PBE.

CIF file:
```
data_RuAuN2
_chemical_formula_sum 'Ru3 Au3 N6'
_symmetry_space_group_name_H-M 'R -3 m'
_symmetry_Int_Tables_number 166
_symmetry_space_group_name_Hall '-R 3 2"'
_cell_length_a 2.9701
_cell_length_b 2.9701
_cell_length_c 19.2647
_cell_angle_alpha 90.00
_cell_angle_beta 90.00
_cell_angle_gamma 120.00
loop_
_atom_site_label
_atom_site_type_symbol
_atom_site_fract_x
_atom_site_fract_y
_atom_site_fract_z
Ru1 Ru 0.0000 0.0000 0.0000
Au1 Au 0.0000 0.0000 0.5000
N1 N 0.0000 0.0000 0.3931
```

Values from the calculation:
* DOS(E_F): 7.0 states/eV per cell

Name the most stable of them. b).

a) A relaxed structure of Ru2Au2N, computed with GGA-PBE.

CIF file:
```
data_Ru2Au2N
_chemical_formula_sum 'Ru4 Au4 N2'
_symmetry_space_group_name_H-M 'P 4/m b m'
_symmetry_Int_Tables_number 127
_symmetry_space_group_name_Hall '-P 4 2ab'
_cell_length_a 5.909
_cell_length_b 5.909
_cell_length_c 4.548
_cell_angle_alpha 90.00
_cell_angle_beta 90.00
_cell_angle_gamma 90.00
loop_
_atom_site_label
_atom_site_type_symbol
_atom_site_fract_x
_atom_site_fract_y
_atom_site_fract_z
Ru1 Ru 0.146 0.354 0.000
Au1 Au 0.173 0.673 0.500
N1 N 0.000 0.000 0.500
```

Values from the calculation:
* DOS(E_F): 7.8 states/eV per cell

b) A relaxed structure of Ru2Au2N, computed with GGA-PBE.

CIF file:
```
data_Ru2Au2N
_chemical_formula_sum 'Ru4 Au4 N2'
_symmetry_space_group_name_H-M 'I 4/m m m'
_symmetry_Int_Tables_number 139
_symmetry_space_group_name_Hall '-I 4 2'
_cell_length_a 3.412
_cell_length_b 3.412
_cell_length_c 14.257
_cell_angle_alpha 90.00
_cell_angle_beta 90.00
_cell_angle_gamma 90.00
loop_
_atom_site_label
_atom_site_type_symbol
_atom_site_fract_x
_atom_site_fract_y
_atom_site_fract_z
Ru1 Ru 0.000 0.500 0.250
Au1 Au 0.000 0.000 0.094
N1 N 0.000 0.000 0.500
```

Values from the calculation:
* DOS(E_F): 13.5 states/eV per cell

Name the most stable of them. a).

a) A relaxed structure of RuAuSeN2, computed with GGA-PBE.

CIF file:
```
data_RuAuSeN2
_chemical_formula_sum 'Ru1 Au1 Se1 N2'
_symmetry_space_group_name_H-M 'P 4/m m m'
_symmetry_Int_Tables_number 123
_symmetry_space_group_name_Hall '-P 4 2'
_cell_length_a 3.774
_cell_length_b 3.774
_cell_length_c 5.637
_cell_angle_alpha 90.00
_cell_angle_beta 90.00
_cell_angle_gamma 90.00
loop_
_atom_site_label
_atom_site_type_symbol
_atom_site_fract_x
_atom_site_fract_y
_atom_site_fract_z
Ru1 Ru 0.000 0.000 0.000
Au1 Au 0.500 0.500 0.500
Se1 Se 0.000 0.000 0.500
N1 N 0.000 0.500 0.000
```

Values from the calculation:
* DOS(E_F): 2.3 states/eV per cell

b) A relaxed structure of RuAuSeN2, computed with GGA-PBE.

CIF file:
```
data_RuAuSeN2
_chemical_formula_sum 'Ru1 Au1 Se1 N2'
_symmetry_space_group_name_H-M 'P 4/m m m'
_symmetry_Int_Tables_number 123
_symmetry_space_group_name_Hall '-P 4 2'
_cell_length_a 3.773
_cell_length_b 3.773
_cell_length_c 7.765
_cell_angle_alpha 90.00
_cell_angle_beta 90.00
_cell_angle_gamma 90.00
loop_
_atom_site_label
_atom_site_type_symbol
_atom_site_fract_x
_atom_site_fract_y
_atom_site_fract_z
Ru1 Ru 0.000 0.000 0.000
Au1 Au 0.500 0.500 0.500
Se1 Se 0.500 0.500 0.000
N1 N 0.000 0.500 0.500
```

Values from the calculation:
* DOS(E_F): 5.2 states/eV per cell

Name the most stable of them. a).

a) A relaxed structure of RuAuSe2N, computed with GGA-PBE.

CIF file:
```
data_RuAuSe2N
_chemical_formula_sum 'Ru1 Au1 Se2 N1'
_symmetry_space_group_name_H-M 'P 4/m m m'
_symmetry_Int_Tables_number 123
_symmetry_space_group_name_Hall '-P 4 2'
_cell_length_a 5.263
_cell_length_b 5.263
_cell_length_c 3.706
_cell_angle_alpha 90.00
_cell_angle_beta 90.00
_cell_angle_gamma 90.00
loop_
_atom_site_label
_atom_site_type_symbol
_atom_site_fract_x
_atom_site_fract_y
_atom_site_fract_z
Ru1 Ru 0.000 0.000 0.000
Au1 Au 0.500 0.500 0.500
Se1 Se 0.000 0.500 0.500
N1 N 0.500 0.500 0.000
```

Values from the calculation:
* DOS(E_F): 6.8 states/eV per cell

b) A relaxed structure of RuAuSe2N, computed with GGA-PBE.

CIF file:
```
data_RuAuSe2N
_chemical_formula_sum 'Ru1 Au1 Se2 N1'
_symmetry_space_group_name_H-M 'P 4/m m m'
_symmetry_Int_Tables_number 123
_symmetry_space_group_name_Hall '-P 4 2'
_cell_length_a 5.094
_cell_length_b 5.094
_cell_length_c 3.628
_cell_angle_alpha 90.00
_cell_angle_beta 90.00
_cell_angle_gamma 90.00
loop_
_atom_site_label
_atom_site_type_symbol
_atom_site_fract_x
_atom_site_fract_y
_atom_site_fract_z
Ru1 Ru 0.000 0.000 0.000
Au1 Au 0.500 0.500 0.500
Se1 Se 0.000 0.500 0.000
N1 N 0.000 0.000 0.500
```

Values from the calculation:
* DOS(E_F): 5.2 states/eV per cell

Name the most stable of them. b).